a | {"formula": "V2CrPtN", "functional": "PBE", "state": "optimized geometry", "dos_ef_per_ev_fu": 7.10, "cell": [[4.486, 0.000, 0.000], [0.000, 3.524, 0.000], [0.000, 0.000, 4.486]], "species": ["V", "V", "Pt", "N", "Cr"], "frac_coords": [[0.500, 0.000, 0.000], [0.000, 0.000, 0.500], [0.500, 0.500, 0.500], [0.000, 0.500, 0.000], [0.000, 0.000, 0.000]]}



b | {"formula": "V2CrPtN", "functional": "PBE", "state": "optimized geometry", "dos_ef_per_ev_fu": 4.61, "cell": [[-3.055, 2.187, -1.175], [0.203, -1.636, -3.575], [-2.437, -2.792, 1.140]], "species": ["V", "V", "Cr", "Pt", "N"], "frac_coords": [[0.500, 0.000, 0.000], [0.000, 0.500, 0.000], [0.000, 0.000, 0.500], [0.500, 0.500, 0.500], [0.000, 0.000, 0.000]]}



Taking the most stable structure as the zero point, the relative energies in meV per atom are a 1377; b 0.



a | {"formula": "RbCrS2N", "functional": "PBE", "state": "optimized geometry", "dos_ef_per_ev_fu": 5.44, "cell": [[4.935, 0.000, 0.000], [0.000, 4.935, 0.000], [0.000, 0.000, 3.645]], "species": ["S", "S", "Rb", "Cr", "N"], "frac_coords": [[0.000, 0.500, 0.000], [0.500, 0.000, 0.000], [0.500, 0.500, 0.500], [0.000, 0.000, 0.000], [0.000, 0.000, 0.500]]}



b | {"formula": "RbCrS2N", "functional": "PBE", "state": "optimized geometry", "dos_ef_per_ev_fu": 3.45, "cell": [[5.637, 0.000, 0.000], [0.000, 5.637, 0.000], [0.000, 0.000, 4.768]], "species": ["S", "S", "Rb", "Cr", "N"], "frac_coords": [[0.000, 0.500, 0.000], [0.500, 0.000, 0.000], [0.000, 0.000, 0.000], [0.500, 0.500, 0.500], [0.000, 0.000, 0.500]]}



Taking the most stable structure as the zero point, the relative energies in meV per atom are a 0; b 1988.



a | {"formula": "RbCrSeN2", "functional": "PBE", "state": "optimized geometry", "dos_ef_per_ev_fu": 5.31, "cell": [[-2.826, 0.887, 2.665], [-2.671, -2.019, -2.160], [1.086, -4.147, 2.533]], "species": ["Se", "Rb", "N", "N", "Cr"], "frac_coords": [[0.000, 0.000, 0.500], [0.500, 0.500, 0.500], [0.000, 0.500, 0.000], [0.500, 0.000, 0.000], [0.000, 0.000, 0.000]]}



b | {"formula": "RbCrSeN2", "functional": "PBE", "state": "optimized geometry", "dos_ef_per_ev_fu": 4.43, "cell": [[-0.656, -4.879, 0.693], [4.316, -0.231, 2.455], [-3.266, 1.272, 5.864]], "species": ["Cr", "Rb", "N", "N", "Se"], "frac_coords": [[0.500, 0.500, 0.500], [0.000, 0.000, 0.000], [0.000, 0.500, 0.000], [0.500, 0.000, 0.000], [0.000, 0.000, 0.500]]}



Taking the most stable structure as the zero point, the relative energies in meV per atom are a 0; b 1792.



a | {"formula": "Cr3ReN", "functional": "PBE", "state": "optimized geometry", "dos_ef_per_ev_fu": 3.91, "cell": [[3.823, 0.000, 0.000], [0.000, 3.823, 0.000], [0.000, 0.000, 3.823]], "species": ["Cr", "Cr", "Cr", "Re", "N"], "frac_coords": [[0.000, 0.000, 0.500], [0.000, 0.500, 0.000], [0.500, 0.000, 0.000], [0.500, 0.500, 0.500], [0.000, 0.000, 0.000]]}



b | {"formula": "Cr3ReN", "functional": "PBE", "state": "optimized geometry", "dos_ef_per_ev_fu": 5.22, "cell": [[-0.275, -2.591, -3.919], [1.374, -3.798, 2.415], [-4.492, -1.003, 0.979]], "species": ["Cr", "Cr", "Cr", "Re", "N"], "frac_coords": [[0.000, 0.000, 0.500], [0.500, 0.000, 0.000], [0.000, 0.500, 0.000], [0.000, 0.000, 0.000], [0.500, 0.500, 0.500]]}



Taking the most stable structure as the zero point, the relative energies in meV per atom are a 0; b 2481.